1.
CaHg2Ge2 | Alexandria via LeMat-Bulk | PBE | optimized geometry; VASP energy = -12.58 eV/f.u.; space-group type = I4/mmm; energy above the lowest structure with this stoichiometry = 0.00 kJ per mole of atoms
1.0
-3.8627 1.9918 -1.3644
-2.2436 -3.9121 0.6407
-4.2105 0.6173 5.2176
Ca Ge Hg
1 2 2
direct
0.0000 0.0000 0.0000 Ca
0.6046 0.6046 0.7907 Ge
0.3954 0.3954 0.2093 Ge
0.7500 0.2500 0.5000 Hg
0.2500 0.7500 0.5000 Hg



2.
Sc2BeRhW | Alexandria via LeMat-Bulk | PBE | optimized geometry; VASP energy = -33.54 eV/f.u.; space-group type = P4/mmm; energy above the lowest structure with this stoichiometry = 15.32 kJ per mole of atoms
1.0
-2.4931 -0.8489 4.1130
2.6801 -2.9999 1.0054
2.7699 3.2630 2.3524
Sc Rh W Be
2 1 1 1
direct
0.0000 0.0000 0.5000 Sc
0.5000 0.0000 0.0000 Sc
0.0000 0.0000 0.0000 Rh
0.5000 0.5000 0.5000 W
0.0000 0.5000 0.0000 Be



3.
CoReBr2 | Alexandria via LeMat-Bulk | PBE | optimized geometry; VASP energy = -17.68 eV/f.u.; space-group type = P4/mmm; E_form (uncorrected) = 1.31 eV per atom; energy above the lowest structure with this stoichiometry = 96.25 kJ per mole of atoms
1.0
-0.9255 4.3395 1.1397
-1.6695 0.7471 -4.2002
-2.8551 -0.8665 0.9807
Re Br Co
1 2 1
direct
0.0000 0.5000 0.5000 Re
0.5000 0.5000 0.0000 Br
0.0000 0.0000 0.0000 Br
0.5000 0.0000 0.5000 Co



4.
Ca4HoTh3Bi8 | Alexandria via LeMat-Bulk | PBE | optimized geometry; VASP energy = -77.76 eV/f.u.; space-group type = R-3m
1.0
-5.8254 0.4191 -7.1373
-4.8144 -7.0070 3.5180
1.6079 7.5230 5.0877
Th Ca Bi Ho
3 4 8 1
direct
0.5000 0.5000 0.0000 Th
0.5000 0.5000 0.5000 Th
0.0000 0.5000 0.5000 Th
0.5000 0.0000 0.0000 Ca
0.0000 0.0000 0.5000 Ca
0.5000 0.0000 0.5000 Ca
0.0000 0.0000 0.0000 Ca
0.7519 0.7439 0.9980 Bi
0.7539 0.2561 0.0020 Bi
0.7493 0.7476 0.4986 Bi
0.2481 0.2561 0.0020 Bi
0.2507 0.2524 0.5014 Bi
0.7541 0.2560 0.5082 Bi
0.2459 0.7440 0.4918 Bi
0.2461 0.7439 0.9980 Bi
0.0000 0.5000 0.0000 Ho